No. 1
VASP calculation (PBE) on a relaxed structure of SrZn2GeRh2.

```
SrZn2GeRh2
1.0
4.6304 0.0000 0.0000
0.0000 4.6304 0.0000
0.0000 0.0000 5.8943
Sr Zn Ge Rh
1 2 1 2
Direct
0.0000 0.0000 0.0000 Sr
0.5000 0.5000 0.2507 Zn
0.5000 0.5000 0.7493 Zn
0.0000 0.0000 0.5000 Ge
0.0000 0.5000 0.5000 Rh
0.5000 0.0000 0.5000 Rh
```

Values from the calculation:
Space group: P4/mmm (123)
Magnetization: 0.41 μB per cell
Final energy: -25.13 eV per cell



No. 2
VASP calculation (PBE) on a relaxed structure of BeTePb2.

```
BeTePb2
1.0
-2.4013 2.4013 4.7334
2.4013 -2.4013 4.7334
2.4013 2.4013 -4.7334
Be Te Pb
1 1 2
Direct
0.0000 0.0000 0.0000 Be
0.5000 0.5000 0.0000 Te
0.2500 0.7500 0.5000 Pb
0.7500 0.2500 0.5000 Pb
```

Values from the calculation:
Space group: I4/mmm (139)
Magnetization: 0.00 μB per cell
Relative energy among the computed polymorphs: 131 kJ/mol of formula units
Formation energy from raw total energies: 0.492 eV/atom



No. 3
VASP calculation (PBE) on a relaxed structure of MgAsBr.

```
MgAsBr
1.0
4.6470 0.0000 0.0000
0.0000 3.8665 0.0000
-2.2655 0.0000 10.9070
Mg As Br
2 2 2
Direct
0.0943 0.2500 0.1938 Mg
0.9057 0.7500 0.8062 Mg
0.4639 0.7500 0.9258 As
0.5361 0.2500 0.0742 As
0.1668 0.7500 0.3422 Br
0.8332 0.2500 0.6578 Br
```

Values from the calculation:
Space group: P2_1/m (11)
Magnetization: 0.00 μB per cell
Relative energy among the computed polymorphs: 0 kJ/mol of formula units
Formation energy from raw total energies: -0.838 eV/atom



No. 4
VASP calculation (PBE) on a relaxed structure of Ca4Ir.

```
Ca4Ir
1.0
5.6045 0.0000 0.0000
0.0000 5.6045 0.0000
0.0000 0.0000 5.6045
Ca Ir
4 1
Direct
0.0000 0.0000 0.0000 Ca
0.0000 0.5000 0.5000 Ca
0.5000 0.0000 0.5000 Ca
0.5000 0.5000 0.0000 Ca
0.5000 0.5000 0.5000 Ir
```

Values from the calculation:
Space group: Pm-3m (221)
Magnetization: 0.00 μB per cell
Relative energy among the computed polymorphs: 46 kJ/mol of formula units



Q: Among the records above, which one has the highest magnetization?
A: SrZn2GeRh2



Q: Among the records above, which one has the highest magnetization?
A: SrZn2GeRh2